1.
In2NiRh | GGA-PBE | relaxed

POSCAR file:
```
In2NiRh
1.0
-7.392 1.270 3.706
-6.482 -1.383 5.105
-5.469 1.382 6.178
Rh In Ni
1 2 1
Cartesian
-14.507 0.952 11.242 Rh
-19.307 1.267 14.961 In
-9.708 0.637 7.523 In
-4.836 0.317 3.747 Ni
```

Output
Its space-group type is R-3m, No. 166. The formation energy comes out at -19 kJ/mol of formula units. The density is 9.4 g/cm³.

---

2.
In2NiRh | GGA-PBE | relaxed

POSCAR file:
```
In2NiRh
1.0
5.190 -0.004 -0.021
4.255 2.972 -0.021
1.224 0.385 4.367
In Rh Ni
2 1 1
Cartesian
1.235 0.388 4.071 In
2.651 0.833 1.384 In
8.107 2.548 3.505 Rh
5.235 1.645 1.893 Ni
```

Output
Its space-group type is Cm, No. 8. The formation energy comes out at -65 kJ/mol of formula units. The density is 9.6 g/cm³.

---

3.
InNi3Rh | GGA-PBE | relaxed

POSCAR file:
```
InNi3Rh
1.0
-1.113 2.883 3.342
-4.181 0.415 -1.750
-1.413 -3.498 2.547
In Rh Ni
1 1 3
Cartesian
-3.353 -0.100 2.069 In
0.000 0.000 0.000 Rh
-2.091 0.207 -0.875 Ni
-0.706 -1.749 1.273 Ni
-0.556 1.441 1.671 Ni
```

Output
Its space-group type is Pm-3m, No. 221. The formation energy comes out at 458 kJ/mol of formula units. Its energy above the most stable polymorph in this dataset is 0.000 eV/f.u. The density is 6.9 g/cm³.

---

4.
InNi2Rh2 | GGA-PBE | relaxed

POSCAR file:
```
InNi2Rh2
1.0
3.426 0.000 0.000
0.000 3.426 0.000
1.713 1.713 6.495
In Rh Ni
1 2 2
Cartesian
0.000 0.000 0.000 In
3.426 3.426 5.109 Rh
1.713 1.713 1.386 Rh
3.426 1.713 3.248 Ni
1.713 3.426 3.248 Ni
```

Output
Its space-group type is I4/mmm, No. 139. The formation energy comes out at 50 kJ/mol of formula units. Its energy above the most stable polymorph in this dataset is 0.212 eV/f.u. The density is 9.5 g/cm³.

---

5.
In2NiRh | GGA-PBE | relaxed

POSCAR file:
```
In2NiRh
1.0
-1.968 1.118 3.968
-2.896 -2.904 2.012
1.221 -2.150 3.841
Ni In Rh
1 2 1
Cartesian
-1.821 -1.968 4.911 Ni
-0.911 -0.984 2.455 In
0.000 0.000 0.000 In
-2.732 -2.952 7.366 Rh
```

Output
Its space-group type is F-43m, No. 216. The formation energy comes out at 27 kJ/mol of formula units. The density is 9.6 g/cm³.

---

6.
In2NiRh | GGA-PBE | relaxed

POSCAR file:
```
In2NiRh
1.0
3.202 0.000 0.000
0.000 5.350 0.048
0.000 3.609 4.109
Rh Ni In
1 1 2
Cartesian
0.000 1.804 2.054 Rh
1.601 4.479 2.078 Ni
1.601 2.675 0.024 In
0.000 0.000 0.000 In
```

Output
Its space-group type is P2/m, No. 10. The formation energy comes out at -19 kJ/mol of formula units. The density is 9.3 g/cm³.

---

7.
InNi2Rh2 | GGA-PBE | relaxed

POSCAR file:
```
InNi2Rh2
1.0
-2.859 0.638 6.493
-1.632 -6.934 -0.037
2.575 -0.613 1.194
Ni Rh In
4 4 2
Cartesian
0.060 -1.231 2.771 Ni
-1.650 -2.101 6.011 Ni
-1.976 -5.677 4.879 Ni
-0.266 -4.807 1.639 Ni
-3.513 -3.827 5.614 Rh
-2.022 -0.511 4.098 Rh
-0.978 -2.469 0.842 Rh
-2.470 -5.784 2.358 Rh
-2.246 -3.148 3.228 In
0.000 0.000 0.000 In
```

Output
Its space-group type is P4/mbm, No. 127. The formation energy comes out at 51 kJ/mol of formula units. Its energy above the most stable polymorph in this dataset is 0.225 eV/f.u. The density is 9.9 g/cm³.

---

8.
InNi2Rh2 | GGA-PBE | relaxed

POSCAR file:
```
InNi2Rh2
1.0
7.015 0.000 0.000
0.000 7.015 0.000
0.000 0.000 2.952
In Ni Rh
2 4 4
Cartesian
0.000 0.000 0.000 In
3.508 3.508 0.000 In
2.667 6.175 0.000 Ni
0.841 2.667 0.000 Ni
4.348 0.841 0.000 Ni
6.175 4.348 0.000 Ni
2.285 1.223 1.476 Rh
1.223 4.730 1.476 Rh
5.793 2.285 1.476 Rh
4.730 5.793 1.476 Rh
```

Output
Its space-group type is P4/mbm, No. 127. The formation energy comes out at 30 kJ/mol of formula units. Its energy above the most stable polymorph in this dataset is 0.000 eV/f.u. The density is 10.0 g/cm³.

---

9.
In3NiRh | GGA-PBE | relaxed

POSCAR file:
```
In3NiRh
1.0
-3.341 1.024 -3.295
-1.819 -4.421 0.470
-2.932 1.575 3.463
In Rh Ni
3 1 1
Cartesian
-1.466 0.788 1.731 In
-0.910 -2.210 0.235 In
-1.671 0.512 -1.648 In
-4.046 -0.911 0.319 Rh
0.000 0.000 0.000 Ni
```

Output
Its space-group type is Pm-3m, No. 221. The formation energy comes out at 173 kJ/mol of formula units. Its energy above the most stable polymorph in this dataset is 0.000 eV/f.u. The density is 7.6 g/cm³.

---

10.
In3NiRh | GGA-PBE | relaxed

POSCAR file:
```
In3NiRh
1.0
-4.970 1.042 0.001
-0.626 -2.992 4.054
0.833 3.968 3.057
In Ni Rh
3 1 1
Cartesian
-2.485 0.521 0.001 In
-0.313 -1.496 2.027 In
0.416 1.984 1.529 In
-2.382 1.009 3.556 Ni
0.000 0.000 0.000 Rh
```

Output
Its space-group type is Pm-3m, No. 221. The formation energy comes out at 188 kJ/mol of formula units. Its energy above the most stable polymorph in this dataset is 0.153 eV/f.u. The density is 6.4 g/cm³.

---

11.
In2NiRh | GGA-PBE | relaxed

POSCAR file:
```
In2NiRh
1.0
-0.161 -0.152 3.505
-3.411 -0.816 -0.192
1.327 -5.504 -0.178
Ni In Rh
1 2 1
Cartesian
0.634 -2.630 -0.085 Ni
1.273 -5.279 -0.171 In
-1.394 -2.109 1.604 In
-0.767 -4.711 1.520 Rh
```

Output
Its space-group type is P4mm, No. 99. The formation energy comes out at -13 kJ/mol of formula units. The density is 9.3 g/cm³.

---

12.
In2NiRh | GGA-PBE | relaxed

POSCAR file:
```
In2NiRh
1.0
5.293 0.017 0.000
2.486 4.673 0.000
-3.890 -2.345 2.719
In Rh Ni
2 1 1
Cartesian
1.243 2.337 1.359 In
0.000 0.000 0.000 In
2.647 0.008 1.359 Rh
3.890 2.345 0.000 Ni
```

Output
Its space-group type is I-4m2, No. 119. The formation energy comes out at -50 kJ/mol of formula units. The density is 9.7 g/cm³.

---

13.
In2NiRh | GGA-PBE | relaxed

POSCAR file:
```
In2NiRh
1.0
-4.303 -0.485 -1.027
-3.416 -2.576 1.222
-2.437 3.011 3.760
Rh In Ni
1 2 1
Cartesian
-7.617 -0.037 2.966 Rh
-7.713 -3.030 0.221 In
-5.084 -0.056 1.951 In
-2.539 -0.012 0.989 Ni
```

Output
Its space-group type is C2/m, No. 12. The formation energy comes out at -21 kJ/mol of formula units. The density is 9.3 g/cm³.

---

14.
In2Ni2Rh | GGA-PBE | relaxed

POSCAR file:
```
In2Ni2Rh
1.0
-1.198 -6.217 3.029
6.356 -2.202 -2.006
1.231 1.084 2.712
Ni In Rh
4 4 2
Cartesian
5.135 -4.295 -0.615 Ni
2.267 -1.585 -0.396 Ni
2.891 -6.834 1.419 Ni
0.023 -4.124 1.638 Ni
1.678 -5.278 3.200 In
5.028 -5.483 1.761 In
1.361 -1.852 1.974 In
4.711 -2.057 0.535 In
0.000 0.000 0.000 Rh
2.579 -4.209 0.512 Rh
```

Output
Its space-group type is P4/mbm, No. 127. The formation energy comes out at -26 kJ/mol of formula units. The density is 9.6 g/cm³.